Entry 1:
## Li2SiHg (meta-GGA SCAN)

Data for a crystal of Li2SiHg relaxed with PBEsol.

The total DFT energy (no corrections) is -83.69 eV for the cell shown. As for the formation energy without anion corrections: -0.73 eV per formula unit. Its crystal system is orthorhombic. The calculation puts the magnetic moment at 0.00 μB/f.u. Its volume is 62 Å³ per cell. Its space-group type is Cmmm, No. 65.

POSCAR file:
```
Li2SiHg
1.0
2.868 -3.633 0.000
2.868 3.633 0.000
0.000 0.000 2.995
Li Si Hg
2 1 1
Cartesian
1.434 1.816 0.000
1.434 -1.816 0.000
0.000 0.000 1.497
2.868 0.000 1.497
```



Entry 2:
## Li2SiHg (meta-GGA SCAN)

Data for a crystal of Li2SiHg relaxed with PBEsol.

The total DFT energy (no corrections) is -83.26 eV for the cell shown. As for the formation energy without anion corrections: -0.29 eV per formula unit. Its crystal system is tetragonal. The calculation puts the magnetic moment at 0.00 μB/f.u. Its volume is 66 Å³ per cell. Its space-group type is P4mm, No. 99.

POSCAR file:
```
Li2SiHg
1.0
3.351 0.000 0.000
0.000 3.351 0.000
0.000 0.000 5.865
Li Si Hg
2 1 1
Cartesian
0.000 0.000 0.000
1.675 1.675 1.555
0.000 0.000 2.842
1.675 1.675 4.538
```



Entry 3:
## LiSiHg2 (meta-GGA SCAN)

Data for a crystal of LiSiHg2 relaxed with PBEsol.

The total DFT energy (no corrections) is -148.50 eV for the cell shown. As for the formation energy without anion corrections: 0.24 eV per formula unit. Its crystal system is tetragonal. The calculation puts the magnetic moment at 0.00 μB/f.u. Its volume is 73 Å³ per cell. Its space-group type is I4/mmm, No. 139.

POSCAR file:
```
LiSiHg2
1.0
-2.165 2.165 3.902
2.165 -2.165 3.902
2.165 2.165 -3.902
Li Si Hg
1 1 2
Cartesian
0.000 0.000 0.000
0.000 0.000 3.902
2.165 0.000 1.951
0.000 2.165 1.951
```



Entry 4:
## LiSiHg2 (meta-GGA SCAN)

Data for a crystal of LiSiHg2 relaxed with PBEsol.

The total DFT energy (no corrections) is -148.39 eV for the cell shown. As for the formation energy without anion corrections: 0.35 eV per formula unit. Its crystal system is orthorhombic. The calculation puts the magnetic moment at 0.00 μB/f.u. Its volume is 74 Å³ per cell. Its space-group type is Pmm2, No. 25.

POSCAR file:
```
LiSiHg2
1.0
3.255 0.000 0.000
0.000 4.073 0.000
0.000 0.000 5.598
Li Si Hg
1 1 2
Cartesian
0.000 0.000 0.000
1.628 2.036 1.509
0.000 0.000 2.661
1.628 2.036 4.425
```



Entry 5:
## LiSiHg2 (meta-GGA SCAN)

Data for a crystal of LiSiHg2 relaxed with PBEsol.

The total DFT energy (no corrections) is -148.20 eV for the cell shown. As for the formation energy without anion corrections: 0.54 eV per formula unit. Its crystal system is trigonal. The calculation puts the magnetic moment at 0.00 μB/f.u. Its volume is 76 Å³ per cell. Its space-group type is R-3m, No. 166.

POSCAR file:
```
LiSiHg2
1.0
1.570 0.907 8.879
-1.570 0.907 8.879
0.000 -1.813 8.879
Li Si Hg
1 1 2
Cartesian
0.000 0.000 0.000
0.000 0.000 13.318
0.000 0.000 6.728
0.000 0.000 19.908
```



Entry 6:
## LiSiHg2 (meta-GGA SCAN)

Data for a crystal of LiSiHg2 relaxed with PBEsol.

The total DFT energy (no corrections) is -296.52 eV for the cell shown. As for the formation energy without anion corrections: 0.48 eV per formula unit. Its crystal system is tetragonal. The calculation puts the magnetic moment at 0.00 μB/f.u. Its volume is 162 Å³ per cell. Its space-group type is I-42d, No. 122.

POSCAR file:
```
LiSiHg2
1.0
-2.153 2.153 8.765
2.153 -2.153 8.765
2.153 2.153 -8.765
Li Si Hg
2 2 4
Cartesian
0.000 0.000 0.000
0.000 2.153 4.382
2.153 0.000 4.382
0.000 0.000 8.765
1.076 -1.060 6.574
1.093 1.076 2.191
1.076 3.213 -2.191
1.060 1.076 10.956
```



Entry 7:
## LiTiSiHg2 (meta-GGA SCAN)

Data for a crystal of LiTiSiHg2 relaxed with PBEsol.

The total DFT energy (no corrections) is -163.22 eV for the cell shown. As for the formation energy without anion corrections: 1.55 eV per formula unit. Its crystal system is tetragonal. The calculation puts the magnetic moment at 0.00 μB/f.u. Its volume is 114 Å³ per cell. Its space-group type is P4/mmm, No. 123.

POSCAR file:
```
LiTiSiHg2
1.0
4.915 0.000 0.000
0.000 4.915 0.000
0.000 0.000 4.712
Li Ti Si Hg
1 1 1 2
Cartesian
0.000 0.000 0.000
2.457 2.457 0.000
2.457 2.457 2.356
0.000 2.457 2.356
2.457 0.000 2.356
```



Entry 8:
## LiSmHg2 (meta-GGA SCAN)

Data for a crystal of LiSmHg2 relaxed with PBEsol.

The total DFT energy (no corrections) is -185.65 eV for the cell shown. Its crystal system is cubic. The calculation puts the magnetic moment at 0.00 μB/f.u. Its volume is 89 Å³ per cell. Its space-group type is Fm-3m, No. 225.

POSCAR file:
```
LiSmHg2
1.0
0.000 3.540 3.540
3.540 0.000 3.540
3.540 3.540 0.000
Li Sm Hg
1 1 2
Cartesian
0.000 0.000 0.000
3.540 3.540 3.540
1.770 1.770 1.770
5.309 5.309 5.309
```



Entry 9:
## Li3SnHg (meta-GGA SCAN)

Data for a crystal of Li3SnHg relaxed with PBEsol.

The total DFT energy (no corrections) is -111.65 eV for the cell shown. Its crystal system is cubic. The calculation puts the magnetic moment at 0.00 μB/f.u. Its volume is 113 Å³ per cell. Its space-group type is Pm-3m, No. 221.

POSCAR file:
```
Li3SnHg
1.0
4.839 0.000 0.000
0.000 4.839 0.000
0.000 0.000 4.839
Li Sn Hg
3 1 1
Cartesian
0.000 0.000 2.419
0.000 2.419 0.000
2.419 0.000 0.000
2.419 2.419 2.419
0.000 0.000 0.000
```



Entry 10:
## Li2SnHg2 (meta-GGA SCAN)

Data for a crystal of Li2SnHg2 relaxed with PBEsol.

The total DFT energy (no corrections) is -356.93 eV for the cell shown. Its crystal system is tetragonal. The calculation puts the magnetic moment at 0.00 μB/f.u. Its volume is 195 Å³ per cell. Its space-group type is P4/mbm, No. 127.

POSCAR file:
```
Li2SnHg2
1.0
7.720 0.000 0.000
0.000 7.720 0.000
0.000 0.000 3.277
Li Sn Hg
4 2 4
Cartesian
1.094 2.766 0.000
2.766 6.625 0.000
4.954 1.094 0.000
6.625 4.954 0.000
0.000 0.000 0.000
3.860 3.860 0.000
1.148 5.008 1.638
2.712 1.148 1.638
5.008 6.571 1.638
6.571 2.712 1.638
```



Entry 11:
## SrLiHg2 (meta-GGA SCAN)

Data for a crystal of SrLiHg2 relaxed with PBEsol.

The total DFT energy (no corrections) is -163.23 eV for the cell shown. Its crystal system is monoclinic. The calculation puts the magnetic moment at 0.00 μB/f.u. Its volume is 104 Å³ per cell. Its space-group type is C2/m, No. 12.

POSCAR file:
```
SrLiHg2
1.0
4.144 -2.385 0.000
4.144 2.385 0.000
-2.763 0.000 5.249
Sr Li Hg
1 1 2
Cartesian
0.000 0.000 0.000
2.762 0.000 2.625
0.002 0.000 3.288
5.522 0.000 1.961
```



Entry 12:
## Sr2LiHg (meta-GGA SCAN)

Data for a crystal of Sr2LiHg relaxed with PBEsol.

The total DFT energy (no corrections) is -116.67 eV for the cell shown. Its crystal system is orthorhombic. The calculation puts the magnetic moment at 0.02 μB/f.u. Its volume is 135 Å³ per cell. Its space-group type is Amm2, No. 38.

POSCAR file:
```
Sr2LiHg
1.0
4.709 0.000 0.000
0.000 2.327 6.152
0.000 -2.327 6.152
Sr Li Hg
2 1 1
Cartesian
0.000 0.000 0.000
2.354 0.000 3.561
2.354 0.000 7.245
0.000 0.000 8.737
```



Entry 13:
## SrLiHg2 (meta-GGA SCAN)

Data for a crystal of SrLiHg2 relaxed with PBEsol.

The total DFT energy (no corrections) is -163.11 eV for the cell shown. Its crystal system is tetragonal. The calculation puts the magnetic moment at 0.00 μB/f.u. Its volume is 98 Å³ per cell. Its space-group type is P4/mmm, No. 123.

POSCAR file:
```
SrLiHg2
1.0
3.731 0.000 0.000
0.000 3.731 0.000
0.000 0.000 7.035
Sr Li Hg
1 1 2
Cartesian
0.000 0.000 0.000
0.000 0.000 3.517
1.865 1.865 2.068
1.865 1.865 4.966
```



Entry 14:
## SrLiHg2 (meta-GGA SCAN)

Data for a crystal of SrLiHg2 relaxed with PBEsol.

The total DFT energy (no corrections) is -162.74 eV for the cell shown. Its crystal system is cubic. The calculation puts the magnetic moment at 0.00 μB/f.u. Its volume is 95 Å³ per cell. Its space-group type is F-43m, No. 216.

POSCAR file:
```
SrLiHg2
1.0
0.000 3.625 3.625
3.625 0.000 3.625
3.625 3.625 0.000
Sr Li Hg
1 1 2
Cartesian
0.000 0.000 0.000
1.813 1.813 1.813
3.625 3.625 3.625
5.438 5.438 5.438
```



no.,density of states at the Fermi level (states/eV/f.u.)
1,1.10
2,1.24
3,1.09
4,1.46
5,1.47
6,1.47
7,1.92
8,2.33
9,1.86
10,1.37
11,2.37
12,2.80
13,1.76
14,2.59